1.
VASP calculation (PBE) on an optimized crystal structure of CaTiAg2Te.

Values from the calculation:
Calculated volume in Å³ per atom: 32.3
DOS at the Fermi energy in states/eV/f.u.: 8.743
Uncorrected formation energy in kJ per mole of atoms: 69.5
Spin magnetization in μB/cell: 0.98
Symmetry: P4/mmm (123)

Lattice parameters (Å, degrees): 5.3076 5.3076 5.7356 90.00 90.00 90.00
With the nearest neighbours (Å) after each atom.
Sites, in units of the cell vectors:
Ca 0.0000 0.0000 0.0000  2 Te 2.87
Ti 0.5000 0.5000 0.0000  4 Ca 3.75, 8 Ag 3.91
Ag 0.0000 0.5000 0.5000  2 Te 2.65
Ag 0.5000 0.0000 0.5000  2 Te 2.65
Te 0.0000 0.0000 0.5000  4 Ag 2.65, 2 Ca 2.87


2.
VASP calculation (PBE) on an optimized crystal structure of V4GaAu.

Values from the calculation:
Calculated volume in Å³ per atom: 14.5
Energy relative to the elements in kJ/mol of atoms: -5.95
DOS at the Fermi energy in states/eV/f.u.: 7.231
Spin magnetization in μB/cell: 0.00
Symmetry: Cmmm (65)

Lattice parameters (Å, degrees): 4.9275 4.9275 4.4452 90.00 90.00 126.08
With the nearest neighbours (Å) after each atom.
Sites, in units of the cell vectors:
V 0.1749 0.8251 0.0000  4 V 2.53-2.59, 2 Ga 2.70, 2 Au 2.71
V 0.3129 0.6871 0.5000  4 V 2.49-2.53, 3 Ga 2.75-2.77, 2 Au 2.76
V 0.6871 0.3129 0.5000  4 V 2.49-2.53, 3 Ga 2.75-2.77, 2 Au 2.76
V 0.8251 0.1749 0.0000  4 V 2.53-2.59, 2 Ga 2.70, 2 Au 2.71
Ga 0.0000 0.0000 0.5000  10 V 2.70-2.77
Au 0.5000 0.5000 0.0000  10 V 2.71-2.86


3.
VASP calculation (PBE) on an optimized crystal structure of PrPu2Bi3.

Values from the calculation:
Calculated volume in Å³ per atom: 33.8
Energy relative to the elements in kJ/mol of atoms: -50.70
DOS at the Fermi energy in states/eV/f.u.: 30.366
Spin magnetization in μB/cell: 10.23
Symmetry: Immm (71)

Lattice parameters (Å, degrees): 7.9223 7.9223 7.9223 146.45 131.84 59.97
With the nearest neighbours (Å) after each atom.
Sites, in units of the cell vectors:
Pr 0.0000 0.0000 0.0000  6 Bi 3.23-3.28
Pu 0.3351 0.3351 0.0000  6 Bi 3.20-3.23
Pu 0.6649 0.6649 0.0000  6 Bi 3.20-3.23
Bi 0.1718 0.6718 0.5000  4 Pu 3.20-3.23, 2 Pr 3.28
Bi 0.5000 0.0000 0.5000  4 Pu 3.22, 2 Pr 3.23
Bi 0.8282 0.3282 0.5000  4 Pu 3.20-3.23, 2 Pr 3.28


4.
VASP calculation (PBE) on an optimized crystal structure of Ce2Th3Sn4.

Values from the calculation:
Calculated volume in Å³ per atom: 31.1
Energy relative to the elements in kJ/mol of atoms: -52.71
DOS at the Fermi energy in states/eV/f.u.: 19.245
Spin magnetization in μB/cell: 4.65
Symmetry: P2_1/c (14)

Lattice parameters (Å, degrees): 8.7044 8.4814 8.3118 90.00 114.03 90.00
With the nearest neighbours (Å) after each atom.
Sites, in units of the cell vectors:
Ce 0.2075 0.1768 0.0544  6 Sn 3.23-3.56
Ce 0.2075 0.3232 0.5544  6 Sn 3.23-3.56
Ce 0.7925 0.6768 0.4456  6 Sn 3.23-3.56
Ce 0.7925 0.8232 0.9456  6 Sn 3.23-3.56
Th 0.2379 0.6720 0.2135  6 Sn 3.18-3.31
Th 0.2379 0.8280 0.7135  6 Sn 3.18-3.31
Th 0.5000 0.0000 0.5000  6 Sn 3.31
Th 0.5000 0.5000 0.0000  6 Sn 3.31
Th 0.7621 0.1720 0.2865  6 Sn 3.18-3.31
Th 0.7621 0.3280 0.7865  6 Sn 3.18-3.31
Sn 0.0847 0.5223 0.8141  4 Th 3.18-3.31, 3 Ce 3.25-3.46
Sn 0.0847 0.9777 0.3141  4 Th 3.18-3.31, 3 Ce 3.25-3.46
Sn 0.4908 0.1291 0.8712  1 Sn 3.02, 5 Th 3.20-3.31, 1 Ce 3.23
Sn 0.4908 0.3709 0.3712  1 Sn 3.02, 5 Th 3.20-3.31, 1 Ce 3.23
Sn 0.5092 0.6291 0.6288  1 Sn 3.02, 5 Th 3.20-3.31, 1 Ce 3.23
Sn 0.5092 0.8709 0.1288  1 Sn 3.02, 5 Th 3.20-3.31, 1 Ce 3.23
Sn 0.9153 0.0223 0.6859  4 Th 3.18-3.31, 3 Ce 3.25-3.46
Sn 0.9153 0.4777 0.1859  4 Th 3.18-3.31, 3 Ce 3.25-3.46


5.
VASP calculation (PBE) on an optimized crystal structure of Gd2TaC.

Values from the calculation:
Calculated volume in Å³ per atom: 22.1
Energy relative to the elements in kJ/mol of atoms: 48.52
DOS at the Fermi energy in states/eV/f.u.: 3.434
Spin magnetization in μB/cell: 15.26
Symmetry: R-3m (166)

Lattice parameters (Å, degrees): 9.2511 9.2511 9.2511 20.91 20.91 20.91
With the nearest neighbours (Å) after each atom.
Sites, in units of the cell vectors:
Gd 0.1143 0.1143 0.1143  3 C 2.40
Gd 0.8857 0.8857 0.8857  3 C 2.40
Ta 0.0000 0.0000 0.0000  2 Gd 3.10, 6 Ta 3.36
C 0.5000 0.5000 0.5000  6 Gd 2.40


6.
VASP calculation (PBE) on an optimized crystal structure of TbSm4In4.

Values from the calculation:
Calculated volume in Å³ per atom: 31.2
Energy relative to the elements in kJ/mol of atoms: -12.14
DOS at the Fermi energy in states/eV/f.u.: 6.188
Spin magnetization in μB/cell: 0.00
Symmetry: P4_2/nmc (137)

Lattice parameters (Å, degrees): 7.1852 7.1852 10.8761 90.00 90.00 90.00
With the nearest neighbours (Å) after each atom.
Sites, in units of the cell vectors:
Tb 0.2500 0.7500 0.2500  4 In 3.55
Tb 0.7500 0.2500 0.7500  4 In 3.55
Sm 0.0264 0.2500 0.1747  5 In 3.18-3.27, 3 Sm 3.21-3.25
Sm 0.2500 0.0264 0.6747  5 In 3.18-3.27, 3 Sm 3.21-3.25
Sm 0.2500 0.4736 0.6747  5 In 3.18-3.27, 3 Sm 3.21-3.25
Sm 0.4736 0.2500 0.1747  5 In 3.18-3.27, 3 Sm 3.21-3.25
Sm 0.5264 0.7500 0.8253  5 In 3.18-3.27, 3 Sm 3.21-3.25
Sm 0.7500 0.5264 0.3253  5 In 3.18-3.27, 3 Sm 3.21-3.25
Sm 0.7500 0.9736 0.3253  5 In 3.18-3.27, 3 Sm 3.21-3.25
Sm 0.9736 0.7500 0.8253  5 In 3.18-3.27, 3 Sm 3.21-3.25
In 0.0163 0.2500 0.4756  5 Sm 3.18-3.27, 1 In 3.36, 1 Tb 3.55
In 0.2500 0.0163 0.9756  5 Sm 3.18-3.27, 1 In 3.36, 1 Tb 3.55
In 0.2500 0.4837 0.9756  5 Sm 3.18-3.27, 1 In 3.36, 1 Tb 3.55
In 0.4837 0.2500 0.4756  5 Sm 3.18-3.27, 1 In 3.36, 1 Tb 3.55
In 0.5163 0.7500 0.5244  5 Sm 3.18-3.27, 1 In 3.36, 1 Tb 3.55
In 0.7500 0.5163 0.0244  5 Sm 3.18-3.27, 1 In 3.36, 1 Tb 3.55
In 0.7500 0.9837 0.0244  5 Sm 3.18-3.27, 1 In 3.36, 1 Tb 3.55
In 0.9837 0.7500 0.5244  5 Sm 3.18-3.27, 1 In 3.36, 1 Tb 3.55


7.
VASP calculation (PBE) on an optimized crystal structure of CdAuBr2.

Values from the calculation:
Distance to the lowest polymorph of the same formula in meV per atom: 162.7
Calculated volume in Å³ per atom: 28.3
DOS at the Fermi energy in states/eV/f.u.: 0.815
Uncorrected formation energy in kJ per mole of atoms: -9.8
Spin magnetization in μB/cell: 0.00
Symmetry: C2/m (12)

Lattice parameters (Å, degrees): 4.5709 4.5709 7.8428 116.76 116.76 53.07
With the nearest neighbours (Å) after each atom.
Sites, in units of the cell vectors:
Cd 0.0000 0.0000 0.0000  4 Br 2.93
Au 0.5000 0.5000 0.5000  4 Br 2.79
Br 0.2291 0.2291 0.7467  2 Au 2.79, 2 Cd 2.93
Br 0.7709 0.7709 0.2533  2 Au 2.79, 2 Cd 2.93


8.
VASP calculation (PBE) on an optimized crystal structure of Ce2TmAs3.

Values from the calculation:
Distance to the lowest polymorph of the same formula in meV per atom: 0.0
Calculated volume in Å³ per atom: 25.6
Energy relative to the elements in kJ/mol of atoms: -138.93
DOS at the Fermi energy in states/eV/f.u.: 10.671
Spin magnetization in μB/cell: 1.38
Symmetry: Immm (71)

Lattice parameters (Å, degrees): 7.2130 7.2130 7.2130 146.43 131.71 60.09
With the nearest neighbours (Å) after each atom.
Sites, in units of the cell vectors:
Ce 0.1675 0.1675 0.0000  6 As 2.95-2.97
Ce 0.8325 0.8325 0.0000  6 As 2.95-2.97
Tm 0.5000 0.5000 0.0000  6 As 2.91-2.95
As 0.0000 0.5000 0.5000  2 Tm 2.95, 4 Ce 2.95
As 0.3376 0.8376 0.5000  2 Tm 2.91, 4 Ce 2.95-2.97
As 0.6624 0.1624 0.5000  2 Tm 2.91, 4 Ce 2.95-2.97


9.
VASP calculation (PBE) on an optimized crystal structure of Nb2CrTcPt.

Values from the calculation:
Calculated volume in Å³ per atom: 18.3
Energy relative to the elements in kJ/mol of atoms: 99.62
DOS at the Fermi energy in states/eV/f.u.: 6.811
Spin magnetization in μB/cell: 0.00
Symmetry: P4/mmm (123)

Lattice parameters (Å, degrees): 4.5072 4.5072 4.5067 90.00 90.00 90.00
With the nearest neighbours (Å) after each atom.
Sites, in units of the cell vectors:
Nb 0.0000 0.5000 0.0000  2 Cr 2.25
Nb 0.5000 0.0000 0.0000  2 Cr 2.25
Cr 0.0000 0.0000 0.0000  2 Pt 2.25, 4 Nb 2.25
Tc 0.5000 0.5000 0.5000  8 Nb 3.19, 4 Pt 3.19
Pt 0.0000 0.0000 0.5000  2 Cr 2.25


10.
VASP calculation (PBE) on an optimized crystal structure of CaScAl.

Values from the calculation:
Distance to the lowest polymorph of the same formula in meV per atom: 55.5
Calculated volume in Å³ per atom: 25.3
Energy relative to the elements in kJ/mol of atoms: -12.21
DOS at the Fermi energy in states/eV/f.u.: 2.037
Spin magnetization in μB/cell: 0.00
Symmetry: Cm (8)

Lattice parameters (Å, degrees): 8.7624 8.7624 5.2280 93.93 93.93 22.27
With the nearest neighbours (Å) after each atom.
Sites, in units of the cell vectors:
Ca 0.0000 0.0000 0.0000  6 Al 3.18-3.23, 4 Ca 3.38-3.46
Ca 0.1317 0.1317 0.5301  2 Al 3.35, 6 Sc 3.38-3.73, 4 Ca 3.38-3.46
Sc 0.7094 0.7094 0.0469  2 Al 2.88
Sc 0.8254 0.8254 0.5793  6 Al 2.98-3.20, 2 Sc 3.26-3.31
Al 0.3450 0.3450 0.0982  1 Al 2.79, 4 Sc 2.88-3.07
Al 0.4633 0.4633 0.4916  1 Al 2.79, 2 Sc 2.98


11.
VASP calculation (PBE) on an optimized crystal structure of BeCuAs.

Values from the calculation:
Calculated volume in Å³ per atom: 14.3
Energy relative to the elements in kJ/mol of atoms: 17.76
DOS at the Fermi energy in states/eV/f.u.: 0.000
Spin magnetization in μB/cell: 0.00
Symmetry: P6_3/mmc (194)

Lattice parameters (Å, degrees): 3.7658 3.7658 6.9673 90.00 90.00 120.00
With the nearest neighbours (Å) after each atom.
Sites, in units of the cell vectors:
Be 0.3333 0.6667 0.2500  3 As 2.17
Be 0.6667 0.3333 0.7500  3 As 2.17
Cu 0.0000 0.0000 0.0000  6 As 2.79, 6 Be 2.79
Cu 0.0000 0.0000 0.5000  6 As 2.79, 6 Be 2.79
As 0.3333 0.6667 0.7500  3 Be 2.17
As 0.6667 0.3333 0.2500  3 Be 2.17


12.
VASP calculation (PBE) on an optimized crystal structure of NaYCl.

Values from the calculation:
Calculated volume in Å³ per atom: 27.1
DOS at the Fermi energy in states/eV/f.u.: 1.506
Uncorrected formation energy in kJ per mole of atoms: -88.5
Spin magnetization in μB/cell: 2.09
Symmetry: P-3m1 (164)

Lattice parameters (Å, degrees): 3.6462 3.6462 28.2419 90.00 90.00 120.00
With the nearest neighbours (Å) after each atom.
Sites, in units of the cell vectors:
Na 0.3333 0.6667 0.3130  3 Cl 2.81
Na 0.3333 0.6667 0.4411  3 Cl 2.74
Na 0.6667 0.3333 0.5589  3 Cl 2.74
Na 0.6667 0.3333 0.6870  3 Cl 2.81
Y 0.3333 0.6667 0.7987  3 Cl 2.97
Y 0.3333 0.6667 0.9515  3 Cl 3.06
Y 0.6667 0.3333 0.0485  3 Cl 3.06
Y 0.6667 0.3333 0.2013  3 Cl 2.97
Cl 0.3333 0.6667 0.1272  6 Y 2.97-3.06
Cl 0.3333 0.6667 0.6211  6 Na 2.74-2.81
Cl 0.6667 0.3333 0.3789  6 Na 2.74-2.81
Cl 0.6667 0.3333 0.8728  6 Y 2.97-3.06